[1]
The following is a PBE calculation of AsPb after structural relaxation, from Alexandria via LeMat-Bulk.

As for the formation enthalpy at 0 K: 0.097 eV per atom. The volume is 28.9 A^3/atom. The value obtained for the raw total energy is -65.31 eV for the cell shown.

a b c (Å): 10.146 10.146 4.495
angles (deg): 90.00 90.00 90.00
Space group I4/m (No. 87)
Asymmetric unit:
As (0.106, 0.855, 0.000) (multiplicity 8)
Pb (0.090, 0.669, 0.500) (multiplicity 8)

---

[2]
The following is a PBE calculation of As3Pb after structural relaxation, from Alexandria via LeMat-Bulk.

The relative energy among the computed polymorphs comes out at 179.6 meV per atom. As for the formation enthalpy at 0 K: 0.221 eV per atom. The volume is 24.0 A^3/atom. The value obtained for the raw total energy is -16.77 eV for the cell shown.

a b c (Å): 3.7590 3.7590 7.8311
angles (deg): 90.00 90.00 120.00
Space group P-6m2 (No. 187)
Asymmetric unit:
As (0.0000, 0.0000, 0.0000) (multiplicity 1)
As (0.3333, 0.6667, 0.2161) (multiplicity 2)
Pb (0.0000, 0.0000, 0.5000) (multiplicity 1)

---

[3]
The following is a PBE calculation of As4Pb after structural relaxation, from Alexandria via LeMat-Bulk.

The relative energy among the computed polymorphs comes out at 99.1 meV per atom. As for the formation enthalpy at 0 K: 0.285 eV per atom. The volume is 24.4 A^3/atom. The value obtained for the raw total energy is -41.76 eV for the cell shown.

a b c (Å): 7.269 7.269 4.627
angles (deg): 90.00 90.00 90.00
Space group I4/m (No. 87)
Asymmetric unit:
As (0.089, 0.355, 0.000) (multiplicity 8)
Pb (0.000, 0.000, 0.500) (multiplicity 2)

---

[4]
The following is a PBE calculation of As5Pb4 after structural relaxation, from Alexandria via LeMat-Bulk.

The relative energy among the computed polymorphs comes out at 120.9 meV per atom. As for the formation enthalpy at 0 K: 0.277 eV per atom. The volume is 25.1 A^3/atom. The value obtained for the raw total energy is -71.18 eV for the cell shown.

a b c (Å): 9.1040 9.1040 6.2952
angles (deg): 90.00 90.00 120.00
Space group P6_3/mcm (No. 193)
Asymmetric unit:
As (0.0000, 0.3081, 0.2500) (multiplicity 6)
As (0.3333, 0.6667, 0.0000) (multiplicity 4)
Pb (0.0000, 0.0000, 0.0000) (multiplicity 2)
Pb (0.0000, 0.3619, 0.7500) (multiplicity 6)

---

[5]
The following is a PBE calculation of AsPb after structural relaxation, from Alexandria via LeMat-Bulk.

As for the formation enthalpy at 0 K: 0.197 eV per atom. The volume is 25.3 A^3/atom. The value obtained for the raw total energy is -7.96 eV for the cell shown.

a b c (Å): 3.699 3.699 3.699
angles (deg): 90.00 90.00 90.00
Space group Pm-3m (No. 221)
Asymmetric unit:
As (0.000, 0.000, 0.000) (multiplicity 1)
Pb (0.500, 0.500, 0.500) (multiplicity 1)

---

[6]
The following is a PBE calculation of As2Pb3 after structural relaxation, from Alexandria via LeMat-Bulk.

The relative energy among the computed polymorphs comes out at 0.0 meV per atom. As for the formation enthalpy at 0 K: -0.057 eV per atom. The volume is 29.9 A^3/atom. The value obtained for the raw total energy is -62.13 eV for the cell shown.

a b c (Å): 4.3443 4.3443 27.4240
angles (deg): 90.00 90.00 120.00
Space group R-3m (No. 166, hexagonal axes)
Asymmetric unit:
As (0.0000, 0.0000, 0.1010) (multiplicity 6)
Pb (0.0000, 0.0000, 0.2847) (multiplicity 6)
Pb (0.0000, 0.0000, 0.5000) (multiplicity 3)

---

[7]
The following is a PBE calculation of As3Pb after structural relaxation, from Alexandria via LeMat-Bulk.

The relative energy among the computed polymorphs comes out at 460.8 meV per atom. As for the formation enthalpy at 0 K: 0.502 eV per atom. The volume is 23.2 A^3/atom. The value obtained for the raw total energy is -31.30 eV for the cell shown.

a b c (Å): 5.705 5.705 5.705
angles (deg): 90.00 90.00 90.00
Space group Pm-3n (No. 223)
Asymmetric unit:
As (0.000, 0.250, 0.500) (multiplicity 6)
Pb (0.000, 0.000, 0.000) (multiplicity 2)

---

[8]
The following is a PBE calculation of As8Pb after structural relaxation, from Alexandria via LeMat-Bulk.

As for the formation enthalpy at 0 K: 0.434 eV per atom. The volume is 21.7 A^3/atom. The value obtained for the raw total energy is -74.00 eV for the cell shown.

a b c (Å): 9.236 9.236 4.580
angles (deg): 90.00 90.00 90.00
Space group I4/mmm (No. 139)
Asymmetric unit:
As (0.000, 0.348, 0.000) (multiplicity 8)
As (0.199, 0.199, 0.500) (multiplicity 8)
Pb (0.000, 0.000, 0.000) (multiplicity 2)